Entry one
In3ReBi: optimized geometry, PBE.

a b c (Å): 5.793 5.793 5.793
angles (deg): 90.00 90.00 90.00
Space group Pm-3m (No. 221)
One atom of each set of equivalent atoms:
In 0.000 0.000 0.500 [3 per cell]
Re 0.500 0.500 0.500 [1 per cell]
Bi 0.000 0.000 0.000 [1 per cell]

## Properties
total moment	0.828	μB/atom
Fermi-level density of states	3.6	states/eV/f.u.


Entry two
In3ReBi: optimized geometry, PBE.

a b c (Å): 5.290 5.290 5.290
angles (deg): 90.00 90.00 90.00
Space group Pm-3m (No. 221)
One atom of each set of equivalent atoms:
In 0.000 0.000 0.500 [3 per cell]
Re 0.000 0.000 0.000 [1 per cell]
Bi 0.500 0.500 0.500 [1 per cell]

## Properties
total moment	0.468	μB/atom
Fermi-level density of states	3.3	states/eV/f.u.


The structure with the most favorable energy is entry two; the runner-up is 1072 meV per atom above it.


Entry one
In2BiRh2: optimized geometry, PBE.

a b c (Å): 7.885 7.885 3.187
angles (deg): 90.00 90.00 90.00
Space group P4/mbm (No. 127)
One atom of each set of equivalent atoms:
In 0.146 0.354 0.000 [4 per cell]
Bi 0.000 0.000 0.500 [2 per cell]
Rh 0.149 0.649 0.500 [4 per cell]

## Properties
total moment	0.000	μB/atom
Fermi-level density of states	3.0	states/eV/f.u.


Entry two
In2BiRh2: optimized geometry, PBE.

a b c (Å): 8.035 8.035 3.104
angles (deg): 90.00 90.00 90.00
Space group P4/mbm (No. 127)
One atom of each set of equivalent atoms:
In 0.135 0.365 0.000 [4 per cell]
Bi 0.000 0.000 0.000 [2 per cell]
Rh 0.159 0.659 0.500 [4 per cell]

## Properties
total moment	0.000	μB/atom
Fermi-level density of states	1.9	states/eV/f.u.


The structure with the most favorable energy is entry one; the runner-up is 86 meV per atom above it.


Entry one
In4BiS8: optimized geometry, PBE.

a b c (Å): 11.029 11.029 11.029
angles (deg): 90.00 90.00 90.00
Space group F-43m (No. 216)
One atom of each set of equivalent atoms:
In 0.114 0.114 0.114 [16 per cell]
Bi 0.000 0.000 0.500 [4 per cell]
S 0.121 0.121 0.879 [16 per cell]
S 0.140 0.140 0.360 [16 per cell]

## Properties
total moment	0.000	μB/atom
Fermi-level density of states	11.4	states/eV/f.u.


Entry two
In4BiS8: optimized geometry, PBE.

a b c (Å): 18.393 3.929 12.962
angles (deg): 90.00 131.89 90.00
Space group Cm (No. 8)
One atom of each set of equivalent atoms:
In 0.000 0.000 0.000 [2 per cell]
In 0.003 0.500 0.683 [2 per cell]
In 0.147 0.500 0.346 [2 per cell]
In 0.213 0.000 0.695 [2 per cell]
Bi 0.342 0.500 0.330 [2 per cell]
S 0.046 0.500 0.917 [2 per cell]
S 0.112 0.000 0.435 [2 per cell]
S 0.132 0.000 0.789 [2 per cell]
S 0.189 0.000 0.246 [2 per cell]
S 0.318 0.500 0.759 [2 per cell]
S 0.362 0.500 0.548 [2 per cell]
S 0.472 0.000 0.104 [2 per cell]
S 0.475 0.000 0.452 [2 per cell]

## Properties
total moment	0.041	μB/atom
Fermi-level density of states	10.0	states/eV/f.u.


The structure with the most favorable energy is entry one; the runner-up is 8 meV per atom above it.


Entry one
InBi2S2: optimized geometry, PBE.

a b c (Å): 8.593 8.593 3.719
angles (deg): 90.00 90.00 90.00
Space group P4/mbm (No. 127)
One atom of each set of equivalent atoms:
In 0.000 0.000 0.000 [2 per cell]
Bi 0.201 0.299 0.500 [4 per cell]
S 0.141 0.641 0.000 [4 per cell]

## Properties
total moment	0.000	μB/atom
Fermi-level density of states	2.8	states/eV/f.u.


Entry two
InBi2S2: optimized geometry, PBE.

a b c (Å): 4.540 4.540 14.050
angles (deg): 90.00 90.00 90.00
Space group I4/mmm (No. 139)
One atom of each set of equivalent atoms:
In 0.000 0.000 0.000 [2 per cell]
Bi 0.000 0.500 0.250 [4 per cell]
S 0.000 0.000 0.425 [4 per cell]

## Properties
total moment	0.000	μB/atom
Fermi-level density of states	2.3	states/eV/f.u.


The structure with the most favorable energy is entry one; the runner-up is 134 meV per atom above it.


Entry one
In2BiS2: optimized geometry, PBE.

a b c (Å): 7.875 7.875 4.231
angles (deg): 90.00 90.00 90.00
Space group P4/mbm (No. 127)
One atom of each set of equivalent atoms:
In 0.140 0.360 0.000 [4 per cell]
Bi 0.000 0.000 0.500 [2 per cell]
S 0.186 0.686 0.500 [4 per cell]

## Properties
total moment	0.000	μB/atom
Fermi-level density of states	3.2	states/eV/f.u.


Entry two
In2BiS2: optimized geometry, PBE.

a b c (Å): 5.119 5.119 9.472
angles (deg): 90.00 90.00 90.00
Space group I4/mmm (No. 139)
One atom of each set of equivalent atoms:
In 0.000 0.000 0.149 [4 per cell]
Bi 0.000 0.000 0.500 [2 per cell]
S 0.000 0.500 0.250 [4 per cell]

## Properties
total moment	0.000	μB/atom
Fermi-level density of states	3.2	states/eV/f.u.


The structure with the most favorable energy is entry one; the runner-up is 119 meV per atom above it.


Entry one
InBi2S4: optimized geometry, PBE.

a b c (Å): 7.167 7.167 7.960
angles (deg): 90.00 90.00 90.00
Space group I-42m (No. 121)
One atom of each set of equivalent atoms:
In 0.000 0.000 0.000 [2 per cell]
Bi 0.000 0.500 0.250 [4 per cell]
S 0.231 0.231 0.891 [8 per cell]

## Properties
total moment	0.000	μB/atom
Fermi-level density of states	0.8	states/eV/f.u.


Entry two
InBi2S4: optimized geometry, PBE.

a b c (Å): 7.265 12.496 3.852
angles (deg): 90.00 90.00 90.00
Space group Pbam (No. 55)
One atom of each set of equivalent atoms:
In 0.000 0.000 0.000 [2 per cell]
Bi 0.101 0.341 0.500 [4 per cell]
S 0.126 0.796 0.000 [4 per cell]
S 0.245 0.040 0.500 [4 per cell]

## Properties
total moment	0.000	μB/atom
Fermi-level density of states	2.8	states/eV/f.u.


The structure with the most favorable energy is entry two; the runner-up is 53 meV per atom above it.


Entry one
InBiSb3: optimized geometry, PBE.

a b c (Å): 5.872 5.872 5.872
angles (deg): 90.00 90.00 90.00
Space group Pm-3m (No. 221)
One atom of each set of equivalent atoms:
In 0.000 0.000 0.000 [1 per cell]
Bi 0.500 0.500 0.500 [1 per cell]
Sb 0.000 0.500 0.500 [3 per cell]

## Properties
total moment	0.000	μB/atom
Fermi-level density of states	7.1	states/eV/f.u.


Entry two
InBiSb3: optimized geometry, PBE.

a b c (Å): 5.572 5.572 5.572
angles (deg): 90.00 90.00 90.00
Space group Pm-3m (No. 221)
One atom of each set of equivalent atoms:
In 0.000 0.000 0.000 [1 per cell]
Bi 0.500 0.500 0.500 [1 per cell]
Sb 0.000 0.000 0.500 [3 per cell]

## Properties
total moment	0.000	μB/atom
Fermi-level density of states	5.6	states/eV/f.u.


The structure with the most favorable energy is entry two; the runner-up is 66 meV per atom above it.


Entry one
InBiSb2: optimized geometry, PBE.

a b c (Å): 7.676 7.676 7.676
angles (deg): 90.00 90.00 90.00
Space group Fm-3m (No. 225)
One atom of each set of equivalent atoms:
In 0.000 0.000 0.000 [4 per cell]
Bi 0.000 0.000 0.500 [4 per cell]
Sb 0.250 0.250 0.250 [8 per cell]

## Properties
total moment	0.000	μB/atom
Fermi-level density of states	2.7	states/eV/f.u.


Entry two
InBiSb2: optimized geometry, PBE.

a b c (Å): 4.4404 4.4404 21.6166
angles (deg): 90.00 90.00 120.00
Space group R-3m (No. 166, hexagonal axes)
One atom of each set of equivalent atoms:
In 0.0000 0.0000 0.0000 [3 per cell]
Bi 0.0000 0.0000 0.5000 [3 per cell]
Sb 0.0000 0.0000 0.2545 [6 per cell]

## Properties
total moment	0.000	μB/atom
Fermi-level density of states	2.0	states/eV/f.u.


Entry three
InBiSb2: optimized geometry, PBE.

a b c (Å): 4.3164 4.3164 23.2566
angles (deg): 90.00 90.00 120.00
Space group R3m (No. 160, hexagonal axes)
One atom of each set of equivalent atoms:
In 0.0000 0.0000 0.0000 [3 per cell]
Bi 0.0000 0.0000 0.1686 [3 per cell]
Sb 0.0000 0.0000 0.5844 [3 per cell]
Sb 0.0000 0.0000 0.7454 [3 per cell]

## Properties
total moment	0.000	μB/atom
Fermi-level density of states	2.8	states/eV/f.u.


Entry four
InBiSb2: optimized geometry, PBE.

a b c (Å): 6.900 6.900 13.780
angles (deg): 90.00 90.00 90.00
Space group I-42d (No. 122)
One atom of each set of equivalent atoms:
In 0.000 0.000 0.000 [4 per cell]
Bi 0.000 0.000 0.500 [4 per cell]
Sb 0.225 0.250 0.125 [8 per cell]

## Properties
total moment	0.000	μB/atom
Fermi-level density of states	0.0	states/eV/f.u.


The structure with the most favorable energy is entry two; the runner-up is 47 meV per atom above it.


Entry one
InBiSb2: optimized geometry, PBE.

a b c (Å): 4.937 4.937 4.752
angles (deg): 90.00 90.00 90.00
Space group P4/mmm (No. 123)
One atom of each set of equivalent atoms:
In 0.000 0.000 0.000 [1 per cell]
Bi 0.500 0.500 0.000 [1 per cell]
Sb 0.000 0.500 0.500 [2 per cell]

## Properties
total moment	0.000	μB/atom
Fermi-level density of states	2.1	states/eV/f.u.


Entry two
InBiSb2: optimized geometry, PBE.

a b c (Å): 3.768 3.768 7.993
angles (deg): 90.00 90.00 90.00
Space group P4/mmm (No. 123)
One atom of each set of equivalent atoms:
In 0.000 0.000 0.000 [1 per cell]
Bi 0.000 0.000 0.500 [1 per cell]
Sb 0.500 0.500 0.246 [2 per cell]

## Properties
total moment	0.000	μB/atom
Fermi-level density of states	1.8	states/eV/f.u.


The structure with the most favorable energy is entry two; the runner-up is 6 meV per atom above it.


Entry one
InBi2Sb2: optimized geometry, PBE.

a b c (Å): 4.621 4.621 15.719
angles (deg): 90.00 90.00 90.00
Space group I4/mmm (No. 139)
One atom of each set of equivalent atoms:
In 0.000 0.000 0.000 [2 per cell]
Bi 0.000 0.500 0.250 [4 per cell]
Sb 0.000 0.000 0.405 [4 per cell]

## Properties
total moment	0.000	μB/atom
Fermi-level density of states	2.6	states/eV/f.u.


Entry two
InBi2Sb2: optimized geometry, PBE.

a b c (Å): 4.332 4.332 17.063
angles (deg): 90.00 90.00 90.00
Space group I4/mmm (No. 139)
One atom of each set of equivalent atoms:
In 0.000 0.000 0.000 [2 per cell]
Bi 0.000 0.000 0.406 [4 per cell]
Sb 0.000 0.500 0.250 [4 per cell]

## Properties
total moment	0.000	μB/atom
Fermi-level density of states	2.9	states/eV/f.u.


The structure with the most favorable energy is entry two; the runner-up is 19 meV per atom above it.


Entry one
InBi2Sb2: optimized geometry, PBE.

a b c (Å): 8.697 8.697 4.150
angles (deg): 90.00 90.00 90.00
Space group P4/mbm (No. 127)
One atom of each set of equivalent atoms:
In 0.000 0.000 0.000 [2 per cell]
Bi 0.151 0.349 0.000 [4 per cell]
Sb 0.153 0.653 0.500 [4 per cell]

## Properties
total moment	0.000	μB/atom
Fermi-level density of states	2.8	states/eV/f.u.


Entry two
InBi2Sb2: optimized geometry, PBE.

a b c (Å): 8.619 8.619 4.193
angles (deg): 90.00 90.00 90.00
Space group P4/mbm (No. 127)
One atom of each set of equivalent atoms:
In 0.000 0.000 0.000 [2 per cell]
Bi 0.150 0.350 0.500 [4 per cell]
Sb 0.157 0.657 0.000 [4 per cell]

## Properties
total moment	0.000	μB/atom
Fermi-level density of states	2.8	states/eV/f.u.


The structure with the most favorable energy is entry two; the runner-up is 30 meV per atom above it.